A plane-wave DFT calculation with PBE+U was carried out for a relaxed NaCrCSO7 crystal.

Cell and atoms, written as extended XYZ:
```
22
Lattice="-1.244 4.786 -4.064 -3.934 -2.526 -1.769 -5.242 4.057 6.383" Properties=species:S:1:pos:R:3 pbc="T T T"
O -7.342 5.545 0.998
Cr -5.042 0.727 -0.247
O -5.495 2.145 -1.639
C -7.325 6.399 2.002
Cr -5.410 5.711 0.695
O -5.361 1.982 1.344
O -3.071 2.779 -3.767
O -7.454 3.936 3.979
O -3.094 2.749 1.570
O -4.357 -0.466 -1.727
O -3.133 0.982 -0.625
O -7.351 3.658 -1.097
Na -5.415 5.146 4.246
S -4.450 2.870 2.117
O -4.947 4.278 2.061
Na -5.241 2.075 -4.464
S -5.997 3.547 -1.652
O -5.087 4.441 -0.884
O -6.062 6.776 2.283
O -5.960 3.911 -3.100
O -4.503 2.546 3.570
C -3.150 0.124 -1.627
```

Computed properties:
As for the magnetic moment: 5.9 μB/cell. As for the calculated total energy: -6.7664 eV/atom.